A plane-wave DFT calculation with GGA-PBE was carried out for La3Ga3Pt2 after structural relaxation.

a = 5.779 Å, b = 5.779 Å, c = 15.562 Å
α = 90.00°, β = 90.00°, γ = 133.57°
Element x y z (fractional)
La: 0.090 0.910 0.606
La: 0.090 0.910 0.894
La: 0.368 0.632 0.750
La: 0.632 0.368 0.250
La: 0.910 0.090 0.106
La: 0.910 0.090 0.394
Ga: 0.337 0.663 0.250
Ga: 0.375 0.625 0.537
Ga: 0.375 0.625 0.963
Ga: 0.625 0.375 0.037
Ga: 0.625 0.375 0.463
Ga: 0.663 0.337 0.750
Pt: 0.199 0.801 0.106
Pt: 0.199 0.801 0.394
Pt: 0.801 0.199 0.606
Pt: 0.801 0.199 0.894

Output
DFT formation energy (eV per atom): -0.915
ρ (kg/m³): 8962
VASP energy (eV/cell): -86.53
DOS(E_F) (states/eV/atom): 0.81